Compound: Mg2UMoO6
Source: Alexandria
Functional: GGA+U
Structure: relaxed

Unit cell a=5.795 b=5.795 c=5.795 alpha=55.86 beta=55.86 gamma=55.86
Fractional coordinates of all 10 atoms:
Mg1 0.000 0.000 0.000
Mg2 0.500 0.500 0.500
U1 0.292 0.292 0.292
Mo1 0.794 0.794 0.794
O1 0.090 0.693 0.386
O2 0.196 0.592 0.885
O3 0.386 0.090 0.693
O4 0.592 0.885 0.196
O5 0.693 0.386 0.090
O6 0.885 0.196 0.592

Output
Spin magnetization = 0.400 μB/atom
Total DFT energy (no corrections) = -77.4 eV per cell
Theoretical density = 6388 kg/m3